# Lu2ScTe, optimized geometry, DFT PBE
# - E: -75.8 eV for the cell shown
# - M_tot: 1.9 Bohr magnetons per cell
data_Lu2ScTe
_cell_length_a 7.388
_cell_length_b 7.388
_cell_length_c 7.388
_cell_angle_alpha 90.00
_cell_angle_beta 90.00
_cell_angle_gamma 90.00
_symmetry_space_group_name_H-M 'P 1'
_symmetry_Int_Tables_number 1
loop_
_symmetry_equiv_pos_as_xyz
'x,y,z'
loop_
_atom_site_label
_atom_site_fract_x
_atom_site_fract_y
_atom_site_fract_z
Lu1 0.000 0.000 0.000
Lu2 0.000 0.500 0.500
Lu3 0.250 0.250 0.250
Lu4 0.250 0.750 0.750
Lu5 0.500 0.000 0.500
Lu6 0.500 0.500 0.000
Lu7 0.750 0.250 0.750
Lu8 0.750 0.750 0.250
Sc1 0.000 0.000 0.500
Sc2 0.000 0.500 0.000
Sc3 0.500 0.000 0.000
Sc4 0.500 0.500 0.500
Te1 0.250 0.250 0.750
Te2 0.250 0.750 0.250
Te3 0.750 0.250 0.250
Te4 0.750 0.750 0.750

# K2Dy2O3, optimized geometry, DFT PBE
# - E: -82.6 eV for the cell shown
# - M_tot: 0.0 Bohr magnetons per cell
data_K2Dy2O3
_cell_length_a 7.586
_cell_length_b 7.586
_cell_length_c 7.586
_cell_angle_alpha 109.47
_cell_angle_beta 109.47
_cell_angle_gamma 109.47
_symmetry_space_group_name_H-M 'P 1'
_symmetry_Int_Tables_number 1
loop_
_symmetry_equiv_pos_as_xyz
'x,y,z'
loop_
_atom_site_label
_atom_site_fract_x
_atom_site_fract_y
_atom_site_fract_z
K1 0.000 0.481 0.500
K2 0.019 0.019 0.019
K3 0.481 0.500 0.000
K4 0.500 0.000 0.481
Dy1 0.000 0.027 0.500
Dy2 0.027 0.500 0.000
Dy3 0.473 0.473 0.473
Dy4 0.500 0.000 0.027
O1 0.227 0.750 0.977
O2 0.250 0.523 0.273
O3 0.273 0.250 0.523
O4 0.523 0.273 0.250
O5 0.750 0.977 0.227
O6 0.977 0.227 0.750

# RbNbAgTe3, optimized geometry, DFT PBE
# - E: -51.5 eV for the cell shown
# - M_tot: 1.7 Bohr magnetons per cell
data_RbNbAgTe3
_cell_length_a 8.612
_cell_length_b 8.612
_cell_length_c 10.993
_cell_angle_alpha 90.00
_cell_angle_beta 90.00
_cell_angle_gamma 152.94
_symmetry_space_group_name_H-M 'P 1'
_symmetry_Int_Tables_number 1
loop_
_symmetry_equiv_pos_as_xyz
'x,y,z'
loop_
_atom_site_label
_atom_site_fract_x
_atom_site_fract_y
_atom_site_fract_z
Rb1 0.241 0.759 0.750
Rb2 0.759 0.241 0.250
Nb1 0.000 0.000 0.000
Nb2 0.000 0.000 0.500
Ag1 0.457 0.543 0.250
Ag2 0.543 0.457 0.750
Te1 0.070 0.930 0.250
Te2 0.380 0.620 0.032
Te3 0.380 0.620 0.468
Te4 0.620 0.380 0.532
Te5 0.620 0.380 0.968
Te6 0.930 0.070 0.750

# BeCoReGe, optimized geometry, DFT PBE
# - Excess energy over the best structure of this formula in the dataset: 265 meV per atom
# - M_tot: 6.1 Bohr magnetons per cell
data_BeCoReGe
_cell_length_a 5.778
_cell_length_b 5.778
_cell_length_c 5.778
_cell_angle_alpha 90.00
_cell_angle_beta 90.00
_cell_angle_gamma 90.00
_symmetry_space_group_name_H-M 'P 1'
_symmetry_Int_Tables_number 1
loop_
_symmetry_equiv_pos_as_xyz
'x,y,z'
loop_
_atom_site_label
_atom_site_fract_x
_atom_site_fract_y
_atom_site_fract_z
Be1 0.000 0.000 0.000
Be2 0.000 0.500 0.500
Be3 0.500 0.000 0.500
Be4 0.500 0.500 0.000
Co1 0.000 0.000 0.500
Co2 0.000 0.500 0.000
Co3 0.500 0.000 0.000
Co4 0.500 0.500 0.500
Re1 0.250 0.250 0.750
Re2 0.250 0.750 0.250
Re3 0.750 0.250 0.250
Re4 0.750 0.750 0.750
Ge1 0.250 0.250 0.250
Ge2 0.250 0.750 0.750
Ge3 0.750 0.250 0.750
Ge4 0.750 0.750 0.250

# NbInFeNi, optimized geometry, DFT PBE
# - Excess energy over the best structure of this formula in the dataset: 0 meV per atom
# - M_tot: 7.1 Bohr magnetons per cell
data_NbInFeNi
_cell_length_a 6.195
_cell_length_b 6.195
_cell_length_c 6.195
_cell_angle_alpha 90.00
_cell_angle_beta 90.00
_cell_angle_gamma 90.00
_symmetry_space_group_name_H-M 'P 1'
_symmetry_Int_Tables_number 1
loop_
_symmetry_equiv_pos_as_xyz
'x,y,z'
loop_
_atom_site_label
_atom_site_fract_x
_atom_site_fract_y
_atom_site_fract_z
Nb1 0.000 0.000 0.000
Nb2 0.000 0.500 0.500
Nb3 0.500 0.000 0.500
Nb4 0.500 0.500 0.000
In1 0.000 0.000 0.500
In2 0.000 0.500 0.000
In3 0.500 0.000 0.000
In4 0.500 0.500 0.500
Fe1 0.250 0.250 0.750
Fe2 0.250 0.750 0.250
Fe3 0.750 0.250 0.250
Fe4 0.750 0.750 0.750
Ni1 0.250 0.250 0.250
Ni2 0.250 0.750 0.750
Ni3 0.750 0.250 0.750
Ni4 0.750 0.750 0.250

# LiScHgSe3, optimized geometry, DFT PBE
# - E: -49.2 eV for the cell shown
# - M_tot: 0.0 Bohr magnetons per cell
data_LiScHgSe3
_cell_length_a 6.863
_cell_length_b 6.863
_cell_length_c 10.943
_cell_angle_alpha 90.00
_cell_angle_beta 90.00
_cell_angle_gamma 146.71
_symmetry_space_group_name_H-M 'P 1'
_symmetry_Int_Tables_number 1
loop_
_symmetry_equiv_pos_as_xyz
'x,y,z'
loop_
_atom_site_label
_atom_site_fract_x
_atom_site_fract_y
_atom_site_fract_z
Li1 0.244 0.756 0.750
Li2 0.756 0.244 0.250
Sc1 0.000 0.000 0.000
Sc2 0.000 0.000 0.500
Hg1 0.464 0.536 0.250
Hg2 0.536 0.464 0.750
Se1 0.106 0.894 0.250
Se2 0.361 0.639 0.049
Se3 0.361 0.639 0.451
Se4 0.639 0.361 0.549
Se5 0.639 0.361 0.951
Se6 0.894 0.106 0.750

# LiFeTcB, optimized geometry, DFT PBE
# - Excess energy over the best structure of this formula in the dataset: 0 meV per atom
# - M_tot: 0.2 Bohr magnetons per cell
data_LiFeTcB
_cell_length_a 5.431
_cell_length_b 5.431
_cell_length_c 5.431
_cell_angle_alpha 90.00
_cell_angle_beta 90.00
_cell_angle_gamma 90.00
_symmetry_space_group_name_H-M 'P 1'
_symmetry_Int_Tables_number 1
loop_
_symmetry_equiv_pos_as_xyz
'x,y,z'
loop_
_atom_site_label
_atom_site_fract_x
_atom_site_fract_y
_atom_site_fract_z
Li1 0.000 0.000 0.000
Li2 0.000 0.500 0.500
Li3 0.500 0.000 0.500
Li4 0.500 0.500 0.000
Fe1 0.000 0.000 0.500
Fe2 0.000 0.500 0.000
Fe3 0.500 0.000 0.000
Fe4 0.500 0.500 0.500
Tc1 0.250 0.250 0.750
Tc2 0.250 0.750 0.250
Tc3 0.750 0.250 0.250
Tc4 0.750 0.750 0.750
B1 0.250 0.250 0.250
B2 0.250 0.750 0.750
B3 0.750 0.250 0.750
B4 0.750 0.750 0.250

# Cu2Ag3, optimized geometry, DFT PBE
# - Excess energy over the best structure of this formula in the dataset: 54 meV per atom
# - Calculated formation energy: 86 meV/atom
data_Cu2Ag3
_cell_length_a 7.507
_cell_length_b 7.507
_cell_length_c 5.742
_cell_angle_alpha 102.17
_cell_angle_beta 102.17
_cell_angle_gamma 29.61
_symmetry_space_group_name_H-M 'P 1'
_symmetry_Int_Tables_number 1
loop_
_symmetry_equiv_pos_as_xyz
'x,y,z'
loop_
_atom_site_label
_atom_site_fract_x
_atom_site_fract_y
_atom_site_fract_z
Cu1 0.106 0.106 0.043
Cu2 0.295 0.295 0.133
Cu3 0.705 0.705 0.867
Cu4 0.894 0.894 0.957
Ag1 0.104 0.104 0.559
Ag2 0.301 0.301 0.669
Ag3 0.496 0.496 0.236
Ag4 0.504 0.504 0.764
Ag5 0.699 0.699 0.331
Ag6 0.896 0.896 0.441

# YTaAl, optimized geometry, DFT PBE
# - Excess energy over the best structure of this formula in the dataset: 775 meV per atom
# - M_tot: 10.0 Bohr magnetons per cell
data_YTaAl
_cell_length_a 6.854
_cell_length_b 6.854
_cell_length_c 6.854
_cell_angle_alpha 90.00
_cell_angle_beta 90.00
_cell_angle_gamma 90.00
_symmetry_space_group_name_H-M 'P 1'
_symmetry_Int_Tables_number 1
loop_
_symmetry_equiv_pos_as_xyz
'x,y,z'
loop_
_atom_site_label
_atom_site_fract_x
_atom_site_fract_y
_atom_site_fract_z
Y1 0.000 0.000 0.000
Y2 0.000 0.500 0.500
Y3 0.500 0.000 0.500
Y4 0.500 0.500 0.000
Ta1 0.250 0.250 0.250
Ta2 0.250 0.750 0.750
Ta3 0.750 0.250 0.750
Ta4 0.750 0.750 0.250
Al1 0.250 0.250 0.750
Al2 0.250 0.750 0.250
Al3 0.750 0.250 0.250
Al4 0.750 0.750 0.750

# PuTcGe, optimized geometry, DFT PBE
# - Excess energy over the best structure of this formula in the dataset: 1037 meV per atom
# - M_tot: 14.8 Bohr magnetons per cell
data_PuTcGe
_cell_length_a 6.389
_cell_length_b 6.389
_cell_length_c 6.389
_cell_angle_alpha 90.00
_cell_angle_beta 90.00
_cell_angle_gamma 90.00
_symmetry_space_group_name_H-M 'P 1'
_symmetry_Int_Tables_number 1
loop_
_symmetry_equiv_pos_as_xyz
'x,y,z'
loop_
_atom_site_label
_atom_site_fract_x
_atom_site_fract_y
_atom_site_fract_z
Pu1 0.000 0.000 0.000
Pu2 0.000 0.500 0.500
Pu3 0.500 0.000 0.500
Pu4 0.500 0.500 0.000
Tc1 0.250 0.250 0.250
Tc2 0.250 0.750 0.750
Tc3 0.750 0.250 0.750
Tc4 0.750 0.750 0.250
Ge1 0.250 0.250 0.750
Ge2 0.250 0.750 0.250
Ge3 0.750 0.250 0.250
Ge4 0.750 0.750 0.750

# Mg2NbAu, optimized geometry, DFT PBE
# - E: -64.5 eV for the cell shown
# - M_tot: 5.5 Bohr magnetons per cell
data_Mg2NbAu
_cell_length_a 6.663
_cell_length_b 6.663
_cell_length_c 6.663
_cell_angle_alpha 90.00
_cell_angle_beta 90.00
_cell_angle_gamma 90.00
_symmetry_space_group_name_H-M 'P 1'
_symmetry_Int_Tables_number 1
loop_
_symmetry_equiv_pos_as_xyz
'x,y,z'
loop_
_atom_site_label
_atom_site_fract_x
_atom_site_fract_y
_atom_site_fract_z
Mg1 0.000 0.000 0.000
Mg2 0.000 0.500 0.500
Mg3 0.250 0.250 0.250
Mg4 0.250 0.750 0.750
Mg5 0.500 0.000 0.500
Mg6 0.500 0.500 0.000
Mg7 0.750 0.250 0.750
Mg8 0.750 0.750 0.250
Nb1 0.000 0.000 0.500
Nb2 0.000 0.500 0.000
Nb3 0.500 0.000 0.000
Nb4 0.500 0.500 0.500
Au1 0.250 0.250 0.750
Au2 0.250 0.750 0.250
Au3 0.750 0.250 0.250
Au4 0.750 0.750 0.750

# ZnTe2Au, optimized geometry, DFT PBE
# - E: -38.1 eV for the cell shown
data_ZnTe2Au
_cell_length_a 7.219
_cell_length_b 7.219
_cell_length_c 7.219
_cell_angle_alpha 90.00
_cell_angle_beta 90.00
_cell_angle_gamma 90.00
_symmetry_space_group_name_H-M 'P 1'
_symmetry_Int_Tables_number 1
loop_
_symmetry_equiv_pos_as_xyz
'x,y,z'
loop_
_atom_site_label
_atom_site_fract_x
_atom_site_fract_y
_atom_site_fract_z
Zn1 0.000 0.000 0.000
Zn2 0.000 0.500 0.500
Zn3 0.500 0.000 0.500
Zn4 0.500 0.500 0.000
Te1 0.000 0.000 0.500
Te2 0.000 0.500 0.000
Te3 0.250 0.250 0.750
Te4 0.250 0.750 0.250
Te5 0.500 0.000 0.000
Te6 0.500 0.500 0.500
Te7 0.750 0.250 0.250
Te8 0.750 0.750 0.750
Au1 0.250 0.250 0.250
Au2 0.250 0.750 0.750
Au3 0.750 0.250 0.750
Au4 0.750 0.750 0.250